(1)
Compound: ZrScAl2
Source: the Alexandria database
Functional: PBE-GGA
Structure: relaxed

The value obtained for the distance to the lowest polymorph of the same formula is 0.366 eV per atom. The value obtained for the formation energy is -7 kJ/mol of atoms.

It has space group R3m (No. 160, hexagonal axes), with a = 3.1138 Å, b = 3.1138 Å, c = 29.2073 Å, α = 90.00°, β = 90.00° and γ = 120.00°. The distinct sites, in fractional coordinates, are Zr at (0.0000, 0.0000, 0.0000), Sc at (0.0000, 0.0000, 0.7554), Al at (0.0000, 0.0000, 0.2494) and Al at (0.0000, 0.0000, 0.5066).

(2)
Compound: TlTeN2F
Source: the Alexandria database
Functional: PBE-GGA
Structure: relaxed

The calculation puts the formation energy without anion corrections at 1.162 eV per atom. The value obtained for the distance to the lowest polymorph of the same formula is 0.697 eV per atom.

It has space group P4/mmm (No. 123), with a = 4.3845 Å, b = 4.3845 Å, c = 4.3014 Å, α = 90.00°, β = 90.00° and γ = 90.00°. The distinct sites, in fractional coordinates, are Tl at (0.0000, 0.0000, 0.0000), Te at (0.5000, 0.5000, 0.5000), N at (0.0000, 0.5000, 0.0000) and F at (0.0000, 0.0000, 0.5000).

(3)
Compound: Pa3Co6Si5
Source: the Alexandria database
Functional: PBE-GGA
Structure: relaxed

The calculation puts the formation energy without anion corrections at -0.683 eV per atom.

It has space group Pmmn (No. 59, origin choice 2), with a = 3.8920 Å, b = 11.4657 Å, c = 9.4397 Å, α = 90.00°, β = 90.00° and γ = 90.00°. The distinct sites, in fractional coordinates, are Pa at (0.2500, 0.0910, 0.2379), Pa at (0.2500, 0.7500, 0.2645), Co at (0.2500, 0.0479, 0.8921), Co at (0.2500, 0.2500, 0.0024), Co at (0.2500, 0.2500, 0.5158), Co at (0.2500, 0.5816, 0.4891), Si at (0.2500, 0.0730, 0.6418), Si at (0.2500, 0.6327, 0.9970) and Si at (0.2500, 0.7500, 0.6174).

(4)
Compound: LiHgIr2
Source: the Alexandria database
Functional: PBE-GGA
Structure: relaxed

The value obtained for the formation energy is 45 kJ/mol of atoms.

It has space group P4/mmm (No. 123), with a = 2.7479 Å, b = 2.7479 Å, c = 8.3648 Å, α = 90.00°, β = 90.00° and γ = 90.00°. The distinct sites, in fractional coordinates, are Li at (0.0000, 0.0000, 0.0000), Hg at (0.0000, 0.0000, 0.5000) and Ir at (0.5000, 0.5000, 0.2320).

(5)
Compound: Ga3GeSb
Source: the Alexandria database
Functional: PBE-GGA
Structure: relaxed

The calculation puts the formation energy without anion corrections at 0.307 eV per atom. The value obtained for the distance to the lowest polymorph of the same formula is 0.000 eV per atom.

It has space group Pm-3m (No. 221), with a = 4.9539 Å, b = 4.9539 Å, c = 4.9539 Å, α = 90.00°, β = 90.00° and γ = 90.00°. The distinct sites, in fractional coordinates, are Ga at (0.0000, 0.0000, 0.5000), Ge at (0.0000, 0.0000, 0.0000) and Sb at (0.5000, 0.5000, 0.5000).

(6)
Compound: TaP2OsS
Source: the Alexandria database
Functional: PBE-GGA
Structure: relaxed

The calculation puts the formation energy without anion corrections at 1.235 eV per atom. The value obtained for the distance to the lowest polymorph of the same formula is 0.184 eV per atom.

It has space group P4/mmm (No. 123), with a = 4.8342 Å, b = 4.8342 Å, c = 4.5943 Å, α = 90.00°, β = 90.00° and γ = 90.00°. The distinct sites, in fractional coordinates, are Ta at (0.0000, 0.0000, 0.0000), P at (0.0000, 0.5000, 0.0000), Os at (0.5000, 0.5000, 0.5000) and S at (0.0000, 0.0000, 0.5000).

(7)
Compound: SrTa2Bi2O9
Source: the Alexandria database
Functional: PBE-GGA
Structure: relaxed

The calculation puts the formation energy without anion corrections at -2.396 eV per atom. The value obtained for the distance to the lowest polymorph of the same formula is 0.000 eV per atom.

It has space group Cmc2_1 (No. 36), with a = 25.5137 Å, b = 5.6013 Å, c = 5.6149 Å, α = 90.00°, β = 90.00° and γ = 90.00°. The distinct sites, in fractional coordinates, are Sr at (0.0000, 0.2490, 0.0000), Ta at (0.0827, 0.2521, 0.4953), Bi at (0.2003, 0.2840, 0.0927), O at (0.0000, 0.2029, 0.4795), O at (0.0664, 0.4897, 0.7435), O at (0.0841, 0.0148, 0.2212), O at (0.1554, 0.3242, 0.4768) and O at (0.2490, 0.0168, 0.3075).

(8)
Compound: TiZnIn2
Source: the Alexandria database
Functional: PBE-GGA
Structure: relaxed

The value obtained for the formation energy is -9 kJ/mol of atoms.

It has space group P4/mmm (No. 123), with a = 4.2820 Å, b = 4.2820 Å, c = 4.1454 Å, α = 90.00°, β = 90.00° and γ = 90.00°. The distinct sites, in fractional coordinates, are Ti at (0.0000, 0.0000, 0.0000), Zn at (0.5000, 0.5000, 0.0000) and In at (0.0000, 0.5000, 0.5000).

(9)
Compound: GaAuO3
Source: the Alexandria database
Functional: PBE-GGA
Structure: relaxed

The calculation puts the formation energy without anion corrections at 0.215 eV per atom.

It has space group Pm-3m (No. 221), with a = 4.0288 Å, b = 4.0288 Å, c = 4.0288 Å, α = 90.00°, β = 90.00° and γ = 90.00°. The distinct sites, in fractional coordinates, are Ga at (0.0000, 0.0000, 0.0000), Au at (0.5000, 0.5000, 0.5000) and O at (0.0000, 0.5000, 0.5000).

(10)
Compound: Cs4K3RbH8
Source: the Alexandria database
Functional: PBE-GGA
Structure: relaxed

For the raw total energy, the calculation gives -111.73 eV for the cell shown.

It has space group R-3m (No. 166, hexagonal axes), with a = 8.5312 Å, b = 8.5312 Å, c = 21.1168 Å, α = 90.00°, β = 90.00° and γ = 120.00°. The distinct sites, in fractional coordinates, are Cs at (0.0000, 0.0000, 0.0000), Cs at (0.0000, 0.5000, 0.0000), K at (0.0000, 0.5000, 0.5000), Rb at (0.0000, 0.0000, 0.5000), H at (0.0000, 0.0000, 0.2415) and H at (0.0051, 0.5026, 0.7574).

(11)
Compound: CaY3Hg2
Source: the Alexandria database
Functional: PBE-GGA
Structure: relaxed

The value obtained for the formation energy is -37 kJ/mol of atoms.

It has space group Pmc2_1 (No. 26), with a = 5.1548 Å, b = 9.3089 Å, c = 7.1596 Å, α = 90.00°, β = 90.00° and γ = 90.00°. The distinct sites, in fractional coordinates, are Ca at (0.0000, 0.0585, 0.0000), Y at (0.0000, 0.3255, 0.6435), Y at (0.5000, 0.1722, 0.3177), Y at (0.5000, 0.4424, 0.9659), Hg at (0.0000, 0.3533, 0.2218) and Hg at (0.5000, 0.1529, 0.7411).

(12)
Compound: YHPd2Pb
Source: the Alexandria database
Functional: PBE-GGA
Structure: relaxed

The value obtained for the distance to the lowest polymorph of the same formula is 1.463 eV per atom.

It has space group P4/mmm (No. 123), with a = 5.0889 Å, b = 5.0889 Å, c = 6.2303 Å, α = 90.00°, β = 90.00° and γ = 90.00°. The distinct sites, in fractional coordinates, are Y at (0.0000, 0.0000, 0.0000), H at (0.5000, 0.5000, 0.5000), Pd at (0.0000, 0.5000, 0.0000) and Pb at (0.0000, 0.0000, 0.5000).

(13)
Compound: NaZrAl
Source: the Alexandria database
Functional: PBE-GGA
Structure: relaxed

The value obtained for the distance to the lowest polymorph of the same formula is 0.496 eV per atom. The value obtained for the formation energy is 39 kJ/mol of atoms.

It has space group P-6m2 (No. 187), with a = 5.1241 Å, b = 5.1241 Å, c = 2.9854 Å, α = 90.00°, β = 90.00° and γ = 120.00°. The distinct sites, in fractional coordinates, are Na at (0.0000, 0.0000, 0.0000), Zr at (0.6667, 0.3333, 0.5000) and Al at (0.3333, 0.6667, 0.5000).

(14)
Compound: Ba2InHgPd
Source: the Alexandria database
Functional: PBE-GGA
Structure: relaxed

The value obtained for the distance to the lowest polymorph of the same formula is 0.000 eV per atom. The value obtained for the formation energy is -41 kJ/mol of atoms.

It has space group P4/mmm (No. 123), with a = 6.1322 Å, b = 6.1322 Å, c = 5.1909 Å, α = 90.00°, β = 90.00° and γ = 90.00°. The distinct sites, in fractional coordinates, are Ba at (0.0000, 0.5000, 0.0000), In at (0.0000, 0.0000, 0.5000), Hg at (0.5000, 0.5000, 0.5000) and Pd at (0.0000, 0.0000, 0.0000).

(15)
Compound: Ca2YHg
Source: the Alexandria database
Functional: PBE-GGA
Structure: relaxed

The value obtained for the formation energy is -7 kJ/mol of atoms.

It has space group I4/mmm (No. 139), with a = 4.7926 Å, b = 4.7926 Å, c = 10.6720 Å, α = 90.00°, β = 90.00° and γ = 90.00°. The distinct sites, in fractional coordinates, are Ca at (0.0000, 0.5000, 0.2500), Y at (0.0000, 0.0000, 0.0000) and Hg at (0.0000, 0.0000, 0.5000).

(16)
Compound: BeCuRh2
Source: the Alexandria database
Functional: PBE-GGA
Structure: relaxed

The value obtained for the formation energy is -17 kJ/mol of atoms.

It has space group P4/mmm (No. 123), with a = 4.0852 Å, b = 4.0852 Å, c = 2.9093 Å, α = 90.00°, β = 90.00° and γ = 90.00°. The distinct sites, in fractional coordinates, are Be at (0.0000, 0.0000, 0.0000), Cu at (0.5000, 0.5000, 0.0000) and Rh at (0.0000, 0.5000, 0.5000).

(17)
Compound: CaYZr
Source: the Alexandria database
Functional: PBE-GGA
Structure: relaxed

The value obtained for the distance to the lowest polymorph of the same formula is 0.026 eV per atom. The value obtained for the formation energy is 19 kJ/mol of atoms.

It has space group P3m1 (No. 156), with a = 3.4739 Å, b = 3.4739 Å, c = 8.7879 Å, α = 90.00°, β = 90.00° and γ = 120.00°. The distinct sites, in fractional coordinates, are Ca at (0.0000, 0.0000, 0.0000), Y at (0.6667, 0.3333, 0.3784) and Zr at (0.3333, 0.6667, 0.6704).

(18)
Compound: SrTaAgRh2
Source: the Alexandria database
Functional: PBE-GGA
Structure: relaxed

The value obtained for the formation energy is 190 kJ/mol of atoms.

It has space group P4/mmm (No. 123), with a = 4.8118 Å, b = 4.8118 Å, c = 5.0595 Å, α = 90.00°, β = 90.00° and γ = 90.00°. The distinct sites, in fractional coordinates, are Sr at (0.0000, 0.0000, 0.0000), Ta at (0.5000, 0.5000, 0.5000), Ag at (0.0000, 0.0000, 0.5000) and Rh at (0.0000, 0.5000, 0.0000).

(19)
Compound: MgNCl3
Source: the Alexandria database
Functional: PBE-GGA
Structure: relaxed

The calculation puts the formation energy without anion corrections at -0.482 eV per atom. The value obtained for the distance to the lowest polymorph of the same formula is 0.000 eV per atom.

It has space group P1 (No. 1), with a = 6.6725 Å, b = 6.7124 Å, c = 7.5928 Å, α = 88.66°, β = 73.52° and γ = 67.24°. The distinct sites, in fractional coordinates, are Mg at (0.0000, 0.0000, 0.0000), Mg at (0.3015, 0.3135, 0.9996), N at (0.4573, 0.4608, 0.7482), N at (0.9239, 0.8820, 0.7602), Cl at (0.0041, 0.6648, 0.1223), Cl at (0.1367, 0.1165, 0.2281), Cl at (0.2688, 0.0988, 0.7642), Cl at (0.6237, 0.2825, 0.0950), Cl at (0.6516, 0.4054, 0.5585) and Cl at (0.9770, 0.7696, 0.5633).

(20)
Compound: MgTc
Source: the Alexandria database
Functional: PBE-GGA
Structure: relaxed

The value obtained for the distance to the lowest polymorph of the same formula is 0.637 eV per atom. The value obtained for the formation energy is 59 kJ/mol of atoms.

It has space group P2_13 (No. 198), with a = 5.0663 Å, b = 5.0663 Å, c = 5.0663 Å, α = 90.00°, β = 90.00° and γ = 90.00°. The distinct sites, in fractional coordinates, are Mg at (0.0987, 0.4013, 0.5987) and Tc at (0.1053, 0.8947, 0.3947).